(1)
SrCa5Tl2: optimized geometry, GGA-PBE.

Its total magnetization is 0.00 μB per formula unit. The value obtained for the volume is 300.4 Å³/cell. The density of states at the Fermi level comes out at 9.70 states/eV/cell. The value obtained for the energy of formation from the pure elements is -191.0 meV/atom.

POSCAR file:
```
SrCa5Tl2
1.0
-2.156 5.245 6.643
2.156 -5.245 6.643
2.156 5.245 -6.643
Sr Ca Tl
1 5 2
Direct
0.000 0.000 0.000
0.147 0.351 0.796
0.445 0.649 0.796
0.500 0.000 0.500
0.555 0.351 0.204
0.853 0.649 0.204
0.236 0.736 0.500
0.764 0.264 0.500
```


(2)
ZnPI: optimized geometry, GGA-PBE.

Its total magnetization is 0.00 μB per formula unit. The value obtained for the total energy is -0.213 Ry/atom. The value obtained for the volume is 193.4 Å³/cell. The density of states at the Fermi level comes out at 3.09 states/eV/cell.

POSCAR file:
```
ZnPI
1.0
4.365 0.000 0.000
-0.030 7.149 0.000
-1.896 -3.499 6.199
Zn P I
2 2 2
Direct
0.001 0.257 0.000
0.999 0.743 0.000
0.274 0.945 0.887
0.726 0.055 0.113
0.332 0.645 0.294
0.668 0.355 0.706
```


(3)
ZrAl2In2: optimized geometry, GGA-PBE.

Its excess energy over the best structure of this formula in the dataset is 0.0000 eV per atom. Its total magnetization is 0.00 μB per formula unit. The value obtained for the volume is 212.0 Å³/cell. The density of states at the Fermi level comes out at 6.01 states/eV/cell. The value obtained for the energy of formation from the pure elements is 13.3 meV/atom.

POSCAR file:
```
ZrAl2In2
1.0
7.559 0.000 0.000
0.000 7.559 0.000
0.000 0.000 3.711
Zr Al In
2 4 4
Direct
0.000 0.000 0.000
0.500 0.500 0.000
0.129 0.371 0.000
0.371 0.871 0.000
0.629 0.129 0.000
0.871 0.629 0.000
0.170 0.670 0.500
0.330 0.170 0.500
0.670 0.830 0.500
0.830 0.330 0.500
```


(4)
ZrSiP4: optimized geometry, GGA-PBE.

Its total magnetization is 0.00 μB per formula unit. The value obtained for the total energy is -0.417 Ry/atom. The value obtained for the volume is 93.4 Å³/cell. The density of states at the Fermi level comes out at 2.36 states/eV/cell.

POSCAR file:
```
ZrSiP4
1.0
0.000 3.602 3.602
3.602 0.000 3.602
3.602 3.602 0.000
Zr Si P
1 1 4
Direct
0.000 0.000 0.000
0.250 0.250 0.250
0.122 0.626 0.626
0.626 0.122 0.626
0.626 0.626 0.122
0.626 0.626 0.626
```


(5)
KV2In: optimized geometry, GGA-PBE.

Its total magnetization is 0.00 μB per formula unit. The value obtained for the volume is 208.8 Å³/cell. The density of states at the Fermi level comes out at 10.59 states/eV/cell. The value obtained for the energy of formation from the pure elements is 1141.5 meV/atom.

POSCAR file:
```
KV2In
1.0
-2.234 2.234 10.459
2.234 -2.234 10.459
2.234 2.234 -10.459
K V In
2 4 2
Direct
0.000 0.000 0.000
0.750 0.250 0.500
0.357 0.625 0.232
0.375 0.607 0.732
0.393 0.125 0.768
0.875 0.643 0.268
0.250 0.750 0.500
0.500 0.500 0.000
```


(6)
K3Si: optimized geometry, GGA-PBE.

Its excess energy over the best structure of this formula in the dataset is 0.0000 eV per atom. Its total magnetization is 0.00 μB per formula unit. The value obtained for the volume is 428.1 Å³/cell. The density of states at the Fermi level comes out at 4.96 states/eV/cell.

POSCAR file:
```
K3Si
1.0
4.562 -11.651 0.000
4.562 11.651 0.000
0.000 0.000 4.027
K Si
6 2
Direct
0.160 0.340 0.750
0.247 0.753 0.750
0.340 0.160 0.250
0.660 0.840 0.750
0.753 0.247 0.250
0.840 0.660 0.250
0.472 0.528 0.250
0.528 0.472 0.750
```


(7)
AsIO2F: optimized geometry, GGA-PBE.

Its total magnetization is 1.85 μB per formula unit. The value obtained for the total energy is -0.198 Ry/atom. The value obtained for the volume is 81.0 Å³/cell. The density of states at the Fermi level comes out at 3.61 states/eV/cell.

POSCAR file:
```
AsIO2F
1.0
4.418 0.000 0.000
0.000 4.418 0.000
0.000 0.000 4.151
As I O F
1 1 2 1
Direct
0.000 0.000 0.000
0.500 0.500 0.000
0.000 0.500 0.500
0.500 0.000 0.500
0.500 0.500 0.500
```


(8)
LaPm5YEr2: optimized geometry, GGA-PBE.

Its total magnetization is 0.00 μB per formula unit. The value obtained for the volume is 615.3 Å³/cell. The density of states at the Fermi level comes out at 29.13 states/eV/cell. The value obtained for the energy of formation from the pure elements is 151.5 meV/atom.

POSCAR file:
```
LaPm5YEr2
1.0
2.851 -10.090 0.000
2.851 10.090 0.000
0.000 0.000 10.695
La Pm Y Er
2 10 2 4
Direct
0.084 0.916 0.500
0.916 0.084 0.000
0.020 0.980 0.788
0.114 0.886 0.072
0.203 0.797 0.756
0.219 0.781 0.361
0.483 0.517 0.072
0.517 0.483 0.572
0.781 0.219 0.861
0.797 0.203 0.256
0.886 0.114 0.572
0.980 0.020 0.288
0.300 0.700 0.059
0.700 0.300 0.559
0.385 0.615 0.368
0.387 0.613 0.781
0.613 0.387 0.281
0.615 0.385 0.868
```


(9)
ScSe2S: optimized geometry, GGA-PBE.

Its total magnetization is 0.00 μB per formula unit. The value obtained for the total energy is -0.303 Ry/atom. The value obtained for the volume is 93.4 Å³/cell. The density of states at the Fermi level comes out at 4.17 states/eV/cell.

POSCAR file:
```
ScSe2S
1.0
1.784 1.030 8.468
-1.784 1.030 8.468
0.000 -2.060 8.468
Sc Se S
1 2 1
Direct
0.000 0.000 0.000
0.102 0.102 0.102
0.898 0.898 0.898
0.500 0.500 0.500
```


(10)
BaLa2Pb2: optimized geometry, GGA-PBE.

Its excess energy over the best structure of this formula in the dataset is 0.0000 eV per atom. Its total magnetization is 0.00 μB per formula unit. The value obtained for the volume is 368.7 Å³/cell. The density of states at the Fermi level comes out at 10.72 states/eV/cell. The value obtained for the energy of formation from the pure elements is -512.6 meV/atom.

POSCAR file:
```
BaLa2Pb2
1.0
9.675 0.000 0.000
0.000 9.675 0.000
0.000 0.000 3.939
Ba La Pb
2 4 4
Direct
0.000 0.000 0.000
0.500 0.500 0.000
0.134 0.366 0.500
0.366 0.866 0.500
0.634 0.134 0.500
0.866 0.634 0.500
0.163 0.663 0.000
0.337 0.163 0.000
0.663 0.837 0.000
0.837 0.337 0.000
```


(11)
NaLi2Sc: optimized geometry, GGA-PBE.

Its excess energy over the best structure of this formula in the dataset is 0.0592 eV per atom. Its total magnetization is 0.31 μB per formula unit. The value obtained for the volume is 99.5 Å³/cell. The density of states at the Fermi level comes out at 3.54 states/eV/cell. The value obtained for the energy of formation from the pure elements is 227.5 meV/atom.

POSCAR file:
```
NaLi2Sc
1.0
1.569 0.906 11.670
-1.569 0.906 11.670
0.000 -1.811 11.670
Na Li Sc
1 2 1
Direct
0.000 0.000 0.000
0.417 0.417 0.417
0.583 0.583 0.583
0.500 0.500 0.500
```


(12)
KZrTe2S6: optimized geometry, GGA-PBE.

Its total magnetization is 1.02 μB per formula unit. The value obtained for the total energy is -0.341 Ry/atom. The value obtained for the volume is 299.8 Å³/cell. The density of states at the Fermi level comes out at 1.44 states/eV/cell.

POSCAR file:
```
KZrTe2S6
1.0
3.420 1.975 7.398
-3.420 1.975 7.398
0.000 -3.950 7.398
K Zr Te S
1 1 2 6
Direct
0.000 0.000 0.000
0.482 0.482 0.482
0.236 0.236 0.236
0.799 0.799 0.799
0.088 0.473 0.676
0.243 0.845 0.575
0.473 0.676 0.088
0.575 0.243 0.845
0.676 0.088 0.473
0.845 0.575 0.243
```


(13)
Sr2ZrTl: optimized geometry, GGA-PBE.

Its excess energy over the best structure of this formula in the dataset is 0.0000 eV per atom. Its total magnetization is 1.65 μB per formula unit. The value obtained for the volume is 143.3 Å³/cell. The density of states at the Fermi level comes out at 4.48 states/eV/cell. The value obtained for the energy of formation from the pure elements is 121.4 meV/atom.

POSCAR file:
```
Sr2ZrTl
1.0
3.915 0.000 0.000
0.000 3.915 0.000
0.000 0.000 9.348
Sr Zr Tl
2 1 1
Direct
0.000 0.000 0.000
0.500 0.500 0.363
0.500 0.500 0.746
0.000 0.000 0.603
```


(14)
Sc3Bi2Sb: optimized geometry, GGA-PBE.

Its total magnetization is 0.00 μB per formula unit. The value obtained for the total energy is -0.434 Ry/atom. The value obtained for the volume is 321.3 Å³/cell. The density of states at the Fermi level comes out at 2.23 states/eV/cell.

POSCAR file:
```
Sc3Bi2Sb
1.0
6.705 -2.990 0.000
6.705 2.990 0.000
-2.664 0.000 8.012
Sc Bi Sb
6 4 2
Direct
0.000 0.000 0.250
0.000 0.000 0.750
0.338 0.338 0.419
0.338 0.338 0.919
0.662 0.662 0.081
0.662 0.662 0.581
0.168 0.168 0.084
0.168 0.168 0.584
0.832 0.832 0.416
0.832 0.832 0.916
0.500 0.500 0.250
0.500 0.500 0.750
```


(15)
Cs5ICl4: optimized geometry, GGA-PBE.

Its excess energy over the best structure of this formula in the dataset is 0.0000 eV per atom. Its total magnetization is 0.08 μB per formula unit. The value obtained for the volume is 476.0 Å³/cell. The density of states at the Fermi level comes out at 0.00 states/eV/cell.

POSCAR file:
```
Cs5ICl4
1.0
-5.724 5.724 3.631
5.724 -5.724 3.631
5.724 5.724 -3.631
Cs I Cl
5 1 4
Direct
0.000 0.000 0.000
0.184 0.390 0.574
0.390 0.816 0.206
0.610 0.184 0.794
0.816 0.610 0.426
0.500 0.500 0.000
0.105 0.699 0.804
0.301 0.105 0.407
0.699 0.895 0.593
0.895 0.301 0.196
```


(16)
Li2HfCrIn: optimized geometry, GGA-PBE.

Its total magnetization is 1.44 μB per formula unit. The value obtained for the volume is 116.4 Å³/cell. The density of states at the Fermi level comes out at 3.64 states/eV/cell. The value obtained for the energy of formation from the pure elements is 1164.3 meV/atom.

POSCAR file:
```
Li2HfCrIn
1.0
5.087 0.000 0.000
0.000 5.087 0.000
0.000 0.000 4.498
Li Hf Cr In
2 1 1 1
Direct
0.000 0.500 0.000
0.500 0.000 0.000
0.000 0.000 0.000
0.000 0.000 0.500
0.500 0.500 0.500
```


(17)
CdCu6Sn: optimized geometry, GGA-PBE.

Its total magnetization is 0.00 μB per formula unit. The value obtained for the volume is 115.0 Å³/cell. The density of states at the Fermi level comes out at 3.02 states/eV/cell. The value obtained for the energy of formation from the pure elements is 39.3 meV/atom.

POSCAR file:
```
CdCu6Sn
1.0
4.309 0.000 0.000
0.000 2.931 4.552
0.000 -2.931 4.552
Cd Cu Sn
1 6 1
Direct
0.000 0.000 0.000
0.000 0.492 0.492
0.000 0.519 0.958
0.000 0.958 0.519
0.500 0.344 0.785
0.500 0.785 0.344
0.500 0.811 0.811
0.500 0.300 0.300
```


(18)
Ac12HoRh7: optimized geometry, GGA-PBE.

Its total magnetization is 0.00 μB per formula unit. The value obtained for the volume is 705.5 Å³/cell. The density of states at the Fermi level comes out at 16.33 states/eV/cell. The value obtained for the energy of formation from the pure elements is -555.2 meV/atom.

POSCAR file:
```
Ac12HoRh7
1.0
7.650 4.417 3.481
-7.650 4.417 3.481
0.000 -8.833 3.481
Ac Ho Rh
12 1 7
Direct
0.051 0.128 0.346
0.128 0.346 0.051
0.187 0.576 0.721
0.279 0.813 0.424
0.346 0.051 0.128
0.424 0.279 0.813
0.576 0.721 0.187
0.654 0.949 0.872
0.721 0.187 0.576
0.813 0.424 0.279
0.872 0.654 0.949
0.949 0.872 0.654
0.500 0.500 0.500
0.000 0.000 0.000
0.157 0.474 0.385
0.385 0.157 0.474
0.474 0.385 0.157
0.526 0.615 0.843
0.615 0.843 0.526
0.843 0.526 0.615
```


(19)
PmMgC: optimized geometry, GGA-PBE.

Its total magnetization is 0.00 μB per formula unit. The value obtained for the volume is 123.8 Å³/cell. The density of states at the Fermi level comes out at 3.07 states/eV/cell. The value obtained for the energy of formation from the pure elements is 233.6 meV/atom.

POSCAR file:
```
PmMgC
1.0
3.530 0.000 0.000
-1.757 3.735 0.000
-0.088 -1.224 9.389
Pm Mg C
2 2 2
Direct
0.124 0.230 0.336
0.876 0.770 0.664
0.370 0.735 0.100
0.630 0.265 0.900
0.055 0.108 0.068
0.945 0.892 0.932
```


(20)
Sr3Tl4Pt2: optimized geometry, GGA-PBE.

Its total magnetization is 0.00 μB per formula unit. The value obtained for the volume is 261.3 Å³/cell. The density of states at the Fermi level comes out at 5.08 states/eV/cell. The value obtained for the energy of formation from the pure elements is -489.0 meV/atom.

POSCAR file:
```
Sr3Tl4Pt2
1.0
6.310 -2.292 0.000
6.310 2.292 0.000
-4.272 0.000 9.036
Sr Tl Pt
3 4 2
Direct
0.000 0.000 0.000
0.307 0.307 0.376
0.693 0.693 0.624
0.013 0.013 0.345
0.267 0.267 0.913
0.733 0.733 0.087
0.987 0.987 0.655
0.393 0.393 0.732
0.607 0.607 0.268
```